## Dy2HfAl (PBE)

Data for a relaxed structure of Dy2HfAl.

Values from the calculation:
Energy of formation from the pure elements ... 272 meV per atom
N(E_F) ... 1.31 states/eV per atom
Excess energy over the best structure of this formula in the dataset ... 1.530 eV/f.u.

Unit cell a=3.2618 b=3.2618 c=33.8907 alpha=90.00 beta=90.00 gamma=120.00
Space group R-3m (No. 166, hexagonal axes)
Inequivalent atoms, fractional coordinates:
Dy 0.0000 0.0000 0.0956 (multiplicity 6)
Hf 0.0000 0.0000 0.0000 (multiplicity 3)
Al 0.0000 0.0000 0.5000 (multiplicity 3)